Entry 1:
A relaxed Y3Co crystal, computed with GGA-PBE.

Values from the calculation:
Volume (Å³ per atom): 25.7
N(E_F) (states/eV/f.u.): 4.4
Size of the total moment (μB per cell): 0.00
ρ (g/cm3): 5.26
E_form (kJ per mole of atoms): -5.9
Space-group type: No. 86

Cell: 6.2969 11.4325 11.4325 Å, 90.00 90.00 90.00°
Last column: nearest neighbours and their distance in Å.
Sites, in units of the cell vectors:
Y1 0.0578 0.2839 0.8427  2 Co 2.69-2.74
Y2 0.0578 0.7161 0.1573  2 Co 2.69-2.74
Y3 0.5578 0.6573 0.7839  2 Co 2.69-2.74
Y4 0.5578 0.3427 0.2161  2 Co 2.69-2.74
Y5 0.4422 0.2161 0.6573  2 Co 2.69-2.74
Y6 0.4422 0.7839 0.3427  2 Co 2.69-2.74
Y7 0.9422 0.8427 0.7161  2 Co 2.69-2.74
Y8 0.9422 0.1573 0.2839  2 Co 2.69-2.74
Y9 0.5621 0.3626 0.9175  1 Co 2.89
Y10 0.5621 0.6374 0.0825  1 Co 2.89
Y11 0.0621 0.5825 0.8626  1 Co 2.89
Y12 0.0621 0.4175 0.1374  1 Co 2.89
Y13 0.9379 0.1374 0.5825  1 Co 2.89
Y14 0.9379 0.8626 0.4175  1 Co 2.89
Y15 0.4379 0.9175 0.6374  1 Co 2.89
Y16 0.4379 0.0825 0.3626  1 Co 2.89
Y17 0.7233 0.0618 0.8704  2 Co 2.74-2.99
Y18 0.7233 0.9382 0.1296  2 Co 2.74-2.99
Y19 0.2233 0.6296 0.5618  2 Co 2.74-2.99
Y20 0.2233 0.3704 0.4382  2 Co 2.74-2.99
Y21 0.7767 0.4382 0.6296  2 Co 2.74-2.99
Y22 0.7767 0.5618 0.3704  2 Co 2.74-2.99
Y23 0.2767 0.8704 0.9382  2 Co 2.74-2.99
Y24 0.2767 0.1296 0.0618  2 Co 2.74-2.99
Co1 0.7537 0.8080 0.9294  5 Y 2.69-2.99
Co2 0.7537 0.1920 0.0706  5 Y 2.69-2.99
Co3 0.2537 0.5706 0.3080  5 Y 2.69-2.99
Co4 0.2537 0.4294 0.6920  5 Y 2.69-2.99
Co5 0.7463 0.6920 0.5706  5 Y 2.69-2.99
Co6 0.7463 0.3080 0.4294  5 Y 2.69-2.99
Co7 0.2463 0.9294 0.1920  5 Y 2.69-2.99
Co8 0.2463 0.0706 0.8080  5 Y 2.69-2.99

=====

Entry 2:
A relaxed DyY2Er9 crystal, computed with GGA-PBE.

Values from the calculation:
Volume (Å³ per atom): 30.9
N(E_F) (states/eV/f.u.): 17.7
Offset from the most stable computed form (meV/atom): 0.0
Size of the total moment (μB per cell): 0.00
ρ (g/cm3): 8.27
E_form (kJ per mole of atoms): 2.4
Space-group type: No. 123

Cell: 4.9803 4.9803 14.9387 Å, 90.00 90.00 90.00°
Last column: nearest neighbours and their distance in Å.
Sites, in units of the cell vectors:
Dy1 0.0000 0.0000 0.0000  12 Er 3.51-3.52
Y1 0.0000 0.0000 0.3331  12 Er 3.52-3.53
Y2 0.0000 0.0000 0.6669  12 Er 3.52-3.53
Er1 0.5000 0.5000 0.0000  8 Er 3.51, 4 Dy 3.52
Er2 0.5000 0.5000 0.3331  4 Y 3.52, 8 Er 3.52-3.53
Er3 0.5000 0.5000 0.6669  4 Y 3.52, 8 Er 3.52-3.53
Er4 0.5000 0.0000 0.1660  2 Dy 3.51, 8 Er 3.51-3.53, 2 Y 3.53
Er5 0.5000 0.0000 0.5000  8 Er 3.52, 4 Y 3.52
Er6 0.5000 0.0000 0.8340  2 Dy 3.51, 8 Er 3.51-3.53, 2 Y 3.53
Er7 0.0000 0.5000 0.1660  8 Er 3.51-3.53, 2 Dy 3.51, 2 Y 3.53
Er8 0.0000 0.5000 0.5000  8 Er 3.52, 4 Y 3.52
Er9 0.0000 0.5000 0.8340  8 Er 3.51-3.53, 2 Dy 3.51, 2 Y 3.53

=====

Entry 3:
A relaxed La6TbPrEr2 crystal, computed with GGA-PBE.

Values from the calculation:
Volume (Å³ per atom): 35.3
N(E_F) (states/eV/f.u.): 15.4
Size of the total moment (μB per cell): 0.00
ρ (g/cm3): 6.90
E_form (kJ per mole of atoms): 9.8
Space-group type: No. 15

Cell: 9.9227 9.0182 9.0182 Å, 117.61 94.61 94.61°
Last column: nearest neighbours and their distance in Å.
Sites, in units of the cell vectors:
La1 0.0537 0.1051 0.7577  5 La 3.45-3.85, 2 Er 3.50-3.82, 1 Tb 3.66
La2 0.4463 0.2423 0.8949  5 La 3.45-3.85, 2 Er 3.50-3.82, 1 Tb 3.66
La3 0.9463 0.8949 0.2423  5 La 3.45-3.85, 2 Er 3.50-3.82, 1 Tb 3.66
La4 0.5537 0.7577 0.1051  5 La 3.45-3.85, 2 Er 3.50-3.82, 1 Tb 3.66
La5 0.3112 0.9895 0.4361  1 La 3.32, 1 Pr 3.48, 1 Er 3.58, 1 Tb 3.62
La6 0.1888 0.5639 0.0105  1 La 3.32, 1 Pr 3.48, 1 Er 3.58, 1 Tb 3.62
La7 0.6888 0.0105 0.5639  1 La 3.32, 1 Pr 3.48, 1 Er 3.58, 1 Tb 3.62
La8 0.8112 0.4361 0.9895  1 La 3.32, 1 Pr 3.48, 1 Er 3.58, 1 Tb 3.62
La9 0.1223 0.7036 0.4922  3 La 3.32-3.45, 3 Er 3.37-3.52, 2 Pr 3.50-3.67
La10 0.3777 0.5078 0.2964  3 La 3.32-3.45, 3 Er 3.37-3.52, 2 Pr 3.50-3.67
La11 0.8777 0.2964 0.5078  3 La 3.32-3.45, 3 Er 3.37-3.52, 2 Pr 3.50-3.67
La12 0.6223 0.4922 0.7036  3 La 3.32-3.45, 3 Er 3.37-3.52, 2 Pr 3.50-3.67
Tb1 0.2500 0.9728 0.0272  4 Er 3.42-3.44, 4 La 3.62-3.66
Tb2 0.7500 0.0272 0.9728  4 Er 3.42-3.44, 4 La 3.62-3.66
Pr1 0.2500 0.4067 0.5933  6 La 3.48-3.67, 2 Er 3.62
Pr2 0.7500 0.5933 0.4067  6 La 3.48-3.67, 2 Er 3.62
Er1 0.4535 0.8062 0.7136  5 La 3.37-3.58, 2 Tb 3.42-3.44, 1 Pr 3.62
Er2 0.0465 0.2864 0.1938  5 La 3.37-3.58, 2 Tb 3.42-3.44, 1 Pr 3.62
Er3 0.5465 0.1938 0.2864  5 La 3.37-3.58, 2 Tb 3.42-3.44, 1 Pr 3.62
Er4 0.9535 0.7136 0.8062  5 La 3.37-3.58, 2 Tb 3.42-3.44, 1 Pr 3.62